# 1
A relaxed structure of Fe2PRu, computed with PBEsol.

energy of formation from the pure elements	-0.184	eV per atom
crystal system	orthorhombic
symmetry	Imm2

Structure (POSCAR):
```
Fe2PRu
1.0
-1.3524 1.9903 4.1612
1.3524 -1.9903 4.1612
1.3524 1.9903 -4.1612
Fe P Ru
2 1 1
Direct
0.0000 0.0000 0.0000 Fe
0.7108 0.2108 0.5000 Fe
0.2034 0.7034 0.5000 P
0.4284 0.4284 0.0000 Ru
```

=====

# 2
A relaxed structure of Cs2GdCl5, computed with PBEsol.

energy relative to the elements, uncorrected	-2.187	eV per atom
crystal system	orthorhombic
symmetry	Pnma

Structure (POSCAR):
```
Cs2GdCl5
1.0
9.4798 0.0000 0.0000
0.0000 7.4072 0.0000
0.0000 0.0000 15.1110
Cs Gd Cl
8 4 20
Direct
0.0292 0.2500 0.2091 Cs
0.1702 0.7500 0.4150 Cs
0.3298 0.2500 0.9150 Cs
0.4708 0.7500 0.7091 Cs
0.5292 0.2500 0.2909 Cs
0.6702 0.7500 0.0850 Cs
0.8298 0.2500 0.5850 Cs
0.9708 0.7500 0.7909 Cs
0.1845 0.7500 0.0656 Gd
0.3155 0.2500 0.5656 Gd
0.6845 0.7500 0.4344 Gd
0.8155 0.2500 0.9344 Gd
0.0000 0.0000 0.0000 Cl
0.0000 0.5000 0.0000 Cl
0.0195 0.7500 0.2037 Cl
0.1566 0.5111 0.6188 Cl
0.1566 0.9889 0.6188 Cl
0.2111 0.2500 0.4037 Cl
0.2889 0.7500 0.9037 Cl
0.3434 0.0111 0.1188 Cl
0.3434 0.4889 0.1188 Cl
0.4805 0.2500 0.7037 Cl
0.5000 0.0000 0.5000 Cl
0.5000 0.5000 0.5000 Cl
0.5195 0.7500 0.2963 Cl
0.6566 0.5111 0.8812 Cl
0.6566 0.9889 0.8812 Cl
0.7111 0.2500 0.0963 Cl
0.7889 0.7500 0.5963 Cl
0.8434 0.0111 0.3812 Cl
0.8434 0.4889 0.3812 Cl
0.9805 0.2500 0.7963 Cl
```

=====

# 3
A relaxed structure of CdGaAs2Br, computed with PBEsol.

energy relative to the elements, uncorrected	0.619	eV per atom
crystal system	tetragonal
symmetry	P4/mmm

Structure (POSCAR):
```
CdGaAs2Br
1.0
5.0468 0.0000 0.0000
0.0000 5.0468 0.0000
0.0000 0.0000 5.7106
Cd Ga As Br
1 1 2 1
Direct
0.0000 0.0000 0.0000 Cd
0.5000 0.5000 0.5000 Ga
0.0000 0.5000 0.0000 As
0.5000 0.0000 0.0000 As
0.0000 0.0000 0.5000 Br
```

=====

# 4
A relaxed structure of CrTcW2, computed with PBEsol.

energy of formation from the pure elements	0.130	eV per atom
crystal system	orthorhombic
symmetry	Cmm2
polymorph energy (0 for the lowest one)	27.9	kJ/mol of formula units

Structure (POSCAR):
```
CrTcW2
1.0
1.5401 -2.1802 0.0000
1.5401 2.1802 0.0000
0.0000 0.0000 8.5095
Cr Tc W
1 1 2
Direct
0.0000 0.0000 0.0000 Cr
0.5000 0.5000 0.2312 Tc
0.0000 0.0000 0.4909 W
0.5000 0.5000 0.7580 W
```

=====

# 5
A relaxed structure of Ca2HN, computed with PBEsol.

crystal system	cubic
symmetry	Fd-3m

Structure (POSCAR):
```
Ca2HN
1.0
0.0000 4.9948 4.9948
4.9948 0.0000 4.9948
4.9948 4.9948 0.0000
Ca H N
8 4 4
Direct
0.2151 0.7616 0.7616 Ca
0.2384 0.2384 0.2384 Ca
0.2384 0.2384 0.7849 Ca
0.2384 0.7849 0.2384 Ca
0.7616 0.2151 0.7616 Ca
0.7616 0.7616 0.2151 Ca
0.7616 0.7616 0.7616 Ca
0.7849 0.2384 0.2384 Ca
0.0000 0.5000 0.5000 H
0.5000 0.0000 0.5000 H
0.5000 0.5000 0.0000 H
0.5000 0.5000 0.5000 H
0.0000 0.0000 0.0000 N
0.0000 0.0000 0.5000 N
0.0000 0.5000 0.0000 N
0.5000 0.0000 0.0000 N
```

=====

# 6
A relaxed structure of CoSi2Rh, computed with PBEsol.

energy relative to the elements, uncorrected	-0.518	eV per atom
crystal system	orthorhombic
symmetry	Cmmm
polymorph energy (0 for the lowest one)	15.6	kJ/mol of formula units

Structure (POSCAR):
```
CoSi2Rh
1.0
2.7689 -3.0545 0.0000
2.7689 3.0545 0.0000
0.0000 0.0000 2.7793
Co Si Rh
1 2 1
Direct
0.0000 0.0000 0.0000 Co
0.0000 0.5000 0.5000 Si
0.5000 0.0000 0.5000 Si
0.5000 0.5000 0.0000 Rh
```

=====

Number 1: electronic total energy -34.63 eV/cell, spin magnetization 1.5 μB per formula unit. Number 2: electronic total energy -175.47 eV/cell, spin magnetization 6.9 μB per formula unit. Number 3: electronic total energy -13.53 eV/cell, spin magnetization 1.3 μB per formula unit. Number 4: electronic total energy -48.60 eV/cell, spin magnetization 0.0 μB per formula unit. Number 5: electronic total energy -78.41 eV/cell, spin magnetization 0.0 μB per formula unit. Number 6: electronic total energy -29.44 eV/cell, spin magnetization 0.7 μB per formula unit.